Record 1
Entry from the Alexandria database: crystalline FeP2Au at its relaxed geometry (PBE).

Lattice parameters (Å, degrees): 3.6806 3.6806 8.8644 90.00 90.00 90.00
Closest atoms and distances in Å follow each position.
Space group I-4m2 (No. 119)
Inequivalent atoms, fractional coordinates:
Fe1 0.0000 0.0000 0.0000  8 P 2.60-2.88, 4 Au 2.88
P1 0.0000 0.0000 0.5000  4 Fe 2.60, 4 Au 2.88, 4 P 2.88
P2 0.0000 0.5000 0.7500  4 Au 2.60, 4 Fe 2.88, 4 P 2.88
Au1 0.0000 0.5000 0.2500  8 P 2.60-2.88, 4 Fe 2.88

Calculated volume ... 15.01 Å³/atom
Fermi-level density of states ... 7.4 states/eV per cell
Energy relative to the lowest polymorph listed for this composition ... 583 meV per atom
VASP energy ... -5.18 eV/atom
Total magnetic moment ... 4.93 Bohr magnetons per cell


Record 2
Entry from the Alexandria database: crystalline FeP2Au at its relaxed geometry (PBE).

Lattice parameters (Å, degrees): 12.4210 2.7062 3.6200 90.00 102.61 90.00
Closest atoms and distances in Å follow each position.
Space group Cm (No. 8)
Inequivalent atoms, fractional coordinates:
Fe1 0.0000 0.0000 0.0000  6 P 2.26-2.34
P1 0.0460 0.5000 0.5394  4 Fe 2.31-2.34, 1 Au 2.50
P2 0.3506 0.0000 0.8878  2 Fe 2.26
Au1 0.2159 0.5000 0.2731  3 P 2.50-2.76, 2 Au 2.71

Calculated volume ... 14.84 Å³/atom
Fermi-level density of states ... 3.7 states/eV per cell
Energy relative to the lowest polymorph listed for this composition ... 183 meV per atom
VASP energy ... -5.58 eV/atom
Total magnetic moment ... 0.27 Bohr magnetons per cell


Record 3
Entry from the Alexandria database: crystalline FePAu at its relaxed geometry (PBE).

Lattice parameters (Å, degrees): 2.8198 2.8198 5.5111 90.00 90.00 90.00
Closest atoms and distances in Å follow each position.
Space group P4mm (No. 99)
Inequivalent atoms, fractional coordinates:
Fe1 0.0000 0.0000 0.0000  4 P 2.26
P1 0.5000 0.5000 0.1929  4 Fe 2.26, 1 Au 2.44
Au1 0.5000 0.5000 0.6358  1 P 2.44

Calculated volume ... 14.61 Å³/atom
Fermi-level density of states ... 2.1 states/eV per cell
VASP energy ... -5.78 eV/atom
Total magnetic moment ... 0.00 Bohr magnetons per cell